PBE Sb4IrPt, optimized geometry; calculated volume = 24.34 Å³ per atom; M_tot = 0.000 μB/atom; energy above the most stable polymorph in this dataset = 1461 meV/atom; uncorrected formation energy = 1.082 eV/atom
1.0
0.0000 4.1798 4.1798
4.1798 0.0000 4.1798
4.1798 4.1798 0.0000
Sb Ir Pt
4 1 1
Direct
0.3750 0.3750 0.3750
0.3750 0.3750 0.8750
0.3750 0.8750 0.3750
0.8750 0.3750 0.3750
0.7500 0.7500 0.7500
0.0000 0.0000 0.0000